The following is a GGA-PBE calculation of a relaxed structure of Cs3RhCl, from Alexandria.

Cell: 6.117 6.117 6.117 Å, 90.00 90.00 90.00°
Fractional coordinates of all 5 atoms:
Cs (0.000, 0.000, 0.500)
Cs (0.000, 0.500, 0.000)
Cs (0.500, 0.000, 0.000)
Rh (0.000, 0.000, 0.000)
Cl (0.500, 0.500, 0.500)

Summary:
E_form (uncorrected): -149.0 kJ/mol of formula units